(1)
Material: CsSmNiTe3
Method: DFT, PBE
State: relaxed

a = 17.2449 Å, b = 4.3642 Å, c = 11.6188 Å
α = 90.00°, β = 90.00°, γ = 90.00°
Space group Pnma (No. 62)
Asymmetric unit:
Cs1 0.2279 0.2500 0.0105
Sm1 0.0248 0.2500 0.3456
Ni1 0.0192 0.7500 0.1132
Te1 0.0555 0.7500 0.9028
Te2 0.0979 0.2500 0.5889
Te3 0.1357 0.7500 0.2459

Output
The volume is 36.43 A^3/atom. The calculated density comes out at 5.51 Mg/m³. The offset from the most stable computed form comes out at 0 meV per atom.


(2)
Material: CsSmNiTe3
Method: DFT, PBE
State: relaxed

a = 4.2946 Å, b = 18.2476 Å, c = 10.9402 Å
α = 90.00°, β = 90.00°, γ = 90.00°
Space group Cmcm (No. 63)
Asymmetric unit:
Cs1 0.0000 0.2416 0.2500
Sm1 0.0000 0.5000 0.0000
Ni1 0.0000 0.0103 0.7500
Te1 0.0000 0.1118 0.5909
Te2 0.0000 0.4263 0.7500

Output
The volume is 35.72 A^3/atom. The calculated density comes out at 5.62 Mg/m³. The offset from the most stable computed form comes out at 24 meV per atom.


(3)
Material: CsSmNiTe3
Method: DFT, PBE
State: relaxed

a = 17.2877 Å, b = 4.5703 Å, c = 10.6287 Å
α = 90.00°, β = 91.40°, γ = 90.00°
Space group C2/m (No. 12)
Asymmetric unit:
Cs1 0.1541 0.0000 0.0939
Sm1 0.1624 0.0000 0.5944
Ni1 0.0043 0.5000 0.3762
Te1 0.0000 0.0000 0.5000
Te2 0.0000 0.5000 0.0000
Te3 0.1109 0.5000 0.7810
Te4 0.1591 0.5000 0.3786

Output
The volume is 34.98 A^3/atom. The calculated density comes out at 5.73 Mg/m³. The offset from the most stable computed form comes out at 161 meV per atom.